(1)
VASP calculation (PBEsol) on a relaxed CaTl2Pt2 crystal.

The structure belongs to space group I4/mmm (No. 139); the cell edges are 4.126, 4.126 and 12.923 Å and the angles 90.00°, 90.00° and 90.00°. The asymmetric unit holds Ca at (0.000, 0.000, 0.000), Tl at (0.000, 0.000, 0.386) and Pt at (0.000, 0.500, 0.250).

The value obtained for the uncorrected energy is -4.495 eV per atom. Its formation energy is -230.6 meV per atom.

(2)
VASP calculation (PBEsol) on a relaxed CaTlPt2 crystal.

The structure belongs to space group C2 (No. 5); the cell edges are 5.774, 8.915 and 4.084 Å and the angles 90.00°, 134.87° and 90.00°. The asymmetric unit holds Ca at (0.000, 0.000, 0.000), Tl at (0.000, 0.750, 0.500), Pt at (0.000, 0.250, 0.500) and Pt at (0.000, 0.500, 0.000).

The value obtained for the uncorrected energy is -5.109 eV per atom. Its formation energy is -436.1 meV per atom.